Record 1
Entry from the Alexandria database: a relaxed MgHIN2 crystal (PBE).

Output
- Volume: 108 Å³/cell
- Space group: P4/mmm
- VASP energy: -3.04 eV per atom

Lattice parameters (Å, degrees): 4.1387 4.1387 6.3093 90.00 90.00 90.00
With the nearest neighbours (Å) after each atom.
Sites, in units of the cell vectors:
Mg1 0.0000 0.0000 0.0000  4 N 2.07
H1 0.5000 0.5000 0.5000  4 I 2.93
I1 0.0000 0.0000 0.5000  4 H 2.93, 2 Mg 3.15
N1 0.0000 0.5000 0.0000  2 Mg 2.07
N2 0.5000 0.0000 0.0000  2 Mg 2.07

---

Record 2
Entry from the Alexandria database: a relaxed Nd10SmEr6 crystal (PBE).

Output
- Volume: 579 Å³/cell
- Space group: P-31m
- VASP energy: -4.56 eV per atom

Lattice parameters (Å, degrees): 9.8405 9.8405 6.9099 90.00 90.00 120.00
With the nearest neighbours (Å) after each atom.
Sites, in units of the cell vectors:
Nd1 0.0000 0.2770 0.3191  5 Er 3.40-3.61, 1 Sm 3.51, 4 Nd 3.70-3.80
Nd2 0.0000 0.7230 0.6809  5 Er 3.40-3.61, 1 Sm 3.51, 4 Nd 3.70-3.80
Nd3 0.2770 0.0000 0.3191  5 Er 3.40-3.61, 1 Sm 3.51, 4 Nd 3.70-3.80
Nd4 0.2770 0.2770 0.6809  5 Er 3.40-3.61, 1 Sm 3.51, 4 Nd 3.70-3.80
Nd5 0.3333 0.6667 0.0000  6 Er 3.38, 2 Nd 3.45
Nd6 0.3333 0.6667 0.5000  8 Nd 3.45-3.80, 6 Er 3.80
Nd7 0.6667 0.3333 0.0000  6 Er 3.38, 2 Nd 3.45
Nd8 0.6667 0.3333 0.5000  8 Nd 3.45-3.80, 6 Er 3.80
Nd9 0.7230 0.0000 0.6809  5 Er 3.40-3.61, 1 Sm 3.51, 4 Nd 3.70-3.80
Nd10 0.7230 0.7230 0.3191  5 Er 3.40-3.61, 1 Sm 3.51, 4 Nd 3.70-3.80
Sm1 0.0000 0.0000 0.0000  6 Nd 3.51, 6 Er 3.85
Er1 0.0000 0.3688 0.8130  7 Nd 3.38-3.61, 1 Er 3.65
Er2 0.0000 0.6312 0.1870  7 Nd 3.38-3.61, 1 Er 3.65
Er3 0.3688 0.0000 0.8130  7 Nd 3.38-3.61, 1 Er 3.65
Er4 0.3688 0.3688 0.1870  7 Nd 3.38-3.61, 1 Er 3.65
Er5 0.6312 0.0000 0.1870  7 Nd 3.38-3.61, 1 Er 3.65
Er6 0.6312 0.6312 0.8130  7 Nd 3.38-3.61, 1 Er 3.65

---

Record 3
Entry from the Alexandria database: a relaxed Be2WSe crystal (PBE).

Output
- Volume: 107 Å³/cell
- Energy relative to the elements, uncorrected: 64 kJ/mol of atoms
- Space group: I-42d

Lattice parameters (Å, degrees): 5.2188 5.2188 5.2188 104.51 104.51 119.94
With the nearest neighbours (Å) after each atom.
Sites, in units of the cell vectors:
Be1 0.0922 0.6250 0.9672  2 Se 2.21
Be2 0.3750 0.3422 0.4672  2 Se 2.21
Be3 0.6578 0.1250 0.0328  2 Se 2.21
Be4 0.8750 0.9078 0.5328  2 Se 2.21
W1 0.2500 0.7500 0.5000  4 Be 2.50, 2 Se 2.61
W2 0.5000 0.5000 0.0000  4 Be 2.50, 2 Se 2.61
Se1 0.0000 0.0000 0.0000  4 Be 2.21
Se2 0.7500 0.2500 0.5000  4 Be 2.21

---

Record 4
Entry from the Alexandria database: a relaxed BeReW2 crystal (PBE).

Output
- Volume: 120 Å³/cell
- Space group: I-42d
- VASP energy: -9.70 eV per atom

Lattice parameters (Å, degrees): 5.6109 5.6109 5.6109 99.52 99.52 132.00
With the nearest neighbours (Å) after each atom.
Sites, in units of the cell vectors:
Be1 0.0000 0.0000 0.0000  4 W 2.23, 2 Re 2.28
Be2 0.7500 0.2500 0.5000  4 W 2.23, 2 Re 2.28
Re1 0.2500 0.7500 0.5000  2 Be 2.28
Re2 0.5000 0.5000 0.0000  2 Be 2.28
W1 0.0352 0.6250 0.9102  2 Be 2.23
W2 0.3750 0.2852 0.4102  2 Be 2.23
W3 0.7148 0.1250 0.0898  2 Be 2.23
W4 0.8750 0.9648 0.5898  2 Be 2.23

---

Record 5
Entry from the Alexandria database: a relaxed ZrPa2Be crystal (PBE).

Output
- Volume: 86 Å³/cell
- Space group: P4/mmm
- VASP energy: -7.58 eV per atom

Lattice parameters (Å, degrees): 3.4266 3.4266 7.3470 90.00 90.00 90.00
With the nearest neighbours (Å) after each atom.
Sites, in units of the cell vectors:
Zr1 0.0000 0.0000 0.0000  8 Pa 3.33, 4 Zr 3.43, 2 Be 3.67
Pa1 0.5000 0.5000 0.3102  1 Pa 2.79, 4 Be 2.80
Pa2 0.5000 0.5000 0.6898  1 Pa 2.79, 4 Be 2.80
Be1 0.0000 0.0000 0.5000  8 Pa 2.80

---

Record 6
Entry from the Alexandria database: a relaxed Cu2PtF6 crystal (PBE).

Output
- Volume: 267 Å³/cell
- Energy relative to the elements, uncorrected: -122 kJ/mol of atoms
- Space group: C2/c

Lattice parameters (Å, degrees): 8.5323 8.5323 4.0176 92.34 92.34 113.95
With the nearest neighbours (Å) after each atom.
Sites, in units of the cell vectors:
Cu1 0.0783 0.2441 0.4869  5 F 1.94-2.08
Cu2 0.2441 0.0783 0.9869  5 F 1.94-2.08
Cu3 0.7559 0.9217 0.0131  5 F 1.94-2.08
Cu4 0.9217 0.7559 0.5131  5 F 1.94-2.08
Pt1 0.3094 0.6906 0.7500  4 F 1.96-1.98
Pt2 0.6906 0.3094 0.2500  4 F 1.96-1.98
F1 0.0792 0.1991 0.9868  3 Cu 2.03-2.06
F2 0.1018 0.6731 0.4828  1 Cu 1.94, 1 Pt 1.98
F3 0.1991 0.0792 0.4868  3 Cu 2.03-2.06
F4 0.2906 0.4783 0.5106  1 Pt 1.96, 1 Cu 2.08
F5 0.3269 0.8982 0.0172  1 Cu 1.94, 1 Pt 1.98
F6 0.4783 0.2906 0.0106  1 Pt 1.96, 1 Cu 2.08
F7 0.5217 0.7094 0.9894  1 Pt 1.96, 1 Cu 2.08
F8 0.6731 0.1018 0.9828  1 Cu 1.94, 1 Pt 1.98
F9 0.7094 0.5217 0.4894  1 Pt 1.96, 1 Cu 2.08
F10 0.8009 0.9208 0.5132  3 Cu 2.03-2.06
F11 0.8982 0.3269 0.5172  1 Cu 1.94, 1 Pt 1.98
F12 0.9208 0.8009 0.0132  3 Cu 2.03-2.06

---

Record 7
Entry from the Alexandria database: a relaxed CeSc2In3 crystal (PBE).

Output
- Volume: 144 Å³/cell
- Space group: P4/mmm
- VASP energy: -4.88 eV per atom

Lattice parameters (Å, degrees): 3.2610 3.2610 13.4945 90.00 90.00 90.00
With the nearest neighbours (Å) after each atom.
Sites, in units of the cell vectors:
Ce1 0.0000 0.0000 0.0000  4 Ce 3.26, 8 In 3.37
Sc1 0.0000 0.0000 0.3417  8 In 3.14-3.15, 4 Sc 3.26
Sc2 0.0000 0.0000 0.6583  8 In 3.14-3.15, 4 Sc 3.26
In1 0.5000 0.5000 0.1826  4 Sc 3.15, 4 In 3.26, 4 Ce 3.37
In2 0.5000 0.5000 0.5000  8 Sc 3.14, 4 In 3.26
In3 0.5000 0.5000 0.8174  4 Sc 3.15, 4 In 3.26, 4 Ce 3.37

---

Record 8
Entry from the Alexandria database: a relaxed BaSrNbBiO6 crystal (PBE).

Output
- Volume: 162 Å³/cell
- Energy relative to the elements, uncorrected: -228 kJ/mol of atoms
- Space group: F-43m

Lattice parameters (Å, degrees): 6.1218 6.1218 6.1218 60.00 60.00 60.00
With the nearest neighbours (Å) after each atom.
Sites, in units of the cell vectors:
Ba1 0.0000 0.0000 0.0000  12 O 3.06
Sr1 0.5000 0.5000 0.5000  12 O 3.06
Nb1 0.7500 0.7500 0.7500  6 O 2.01
Bi1 0.2500 0.2500 0.2500  6 O 2.32
O1 0.5176 0.5176 0.9824  1 Nb 2.01
O2 0.5176 0.9824 0.5176  1 Nb 2.01
O3 0.5176 0.9824 0.9824  1 Nb 2.01
O4 0.9824 0.5176 0.5176  1 Nb 2.01
O5 0.9824 0.5176 0.9824  1 Nb 2.01
O6 0.9824 0.9824 0.5176  1 Nb 2.01

---

Record 9
Entry from the Alexandria database: a relaxed LiAcNd2 crystal (PBE).

Output
- Volume: 149 Å³/cell
- Space group: R-3m
- VASP energy: -3.67 eV per atom

Lattice parameters (Å, degrees): 12.8941 12.8941 12.8941 16.39 16.39 16.39
With the nearest neighbours (Å) after each atom.
Sites, in units of the cell vectors:
Li1 0.0000 0.0000 0.0000  2 Nd 3.34, 6 Li 3.68
Ac1 0.5000 0.5000 0.5000  6 Ac 3.68, 6 Nd 3.69
Nd1 0.0875 0.0875 0.0875  1 Li 3.34, 6 Nd 3.68, 3 Ac 3.69
Nd2 0.9125 0.9125 0.9125  1 Li 3.34, 6 Nd 3.68, 3 Ac 3.69

---

Record 10
Entry from the Alexandria database: a relaxed RbSb4Pd4 crystal (PBE).

Output
- Volume: 461 Å³/cell
- Energy relative to the elements, uncorrected: -35 kJ/mol of atoms
- Space group: P4_2/n

Lattice parameters (Å, degrees): 9.2863 9.2863 5.3477 90.00 90.00 90.00
With the nearest neighbours (Å) after each atom.
Sites, in units of the cell vectors:
Rb1 0.2500 0.2500 0.2500  4 Pd 3.57, 4 Sb 3.69
Rb2 0.7500 0.7500 0.7500  4 Pd 3.57, 4 Sb 3.69
Sb1 0.1163 0.8779 0.1849  5 Pd 2.70-2.89
Sb2 0.1221 0.6163 0.6849  5 Pd 2.70-2.89
Sb3 0.3779 0.8837 0.6849  5 Pd 2.70-2.89
Sb4 0.3837 0.6221 0.1849  5 Pd 2.70-2.89
Sb5 0.6163 0.3779 0.8151  5 Pd 2.70-2.89
Sb6 0.6221 0.1163 0.3151  5 Pd 2.70-2.89
Sb7 0.8779 0.3837 0.3151  5 Pd 2.70-2.89
Sb8 0.8837 0.1221 0.8151  5 Pd 2.70-2.89
Pd1 0.0745 0.5900 0.1853  5 Sb 2.70-2.89, 1 Pd 2.94
Pd2 0.0900 0.9255 0.6853  5 Sb 2.70-2.89, 1 Pd 2.94
Pd3 0.4100 0.5745 0.6853  5 Sb 2.70-2.89, 1 Pd 2.94
Pd4 0.4255 0.9100 0.1853  5 Sb 2.70-2.89, 1 Pd 2.94
Pd5 0.5745 0.0900 0.8147  5 Sb 2.70-2.89, 1 Pd 2.94
Pd6 0.5900 0.4255 0.3147  5 Sb 2.70-2.89, 1 Pd 2.94
Pd7 0.9100 0.0745 0.3147  5 Sb 2.70-2.89, 1 Pd 2.94
Pd8 0.9255 0.4100 0.8147  5 Sb 2.70-2.89, 1 Pd 2.94

---

Record 11
Entry from the Alexandria database: a relaxed Pr2MgTl2 crystal (PBE).

Output
- Volume: 296 Å³/cell
- Space group: Cmc2_1
- VASP energy: -3.45 eV per atom

Lattice parameters (Å, degrees): 9.3271 9.3271 6.6619 90.00 90.00 149.25
With the nearest neighbours (Å) after each atom.
Sites, in units of the cell vectors:
Pr1 0.0077 0.9923 0.5000  5 Tl 3.23-3.42, 2 Pr 3.34, 4 Mg 3.57-3.59
Pr2 0.2027 0.7973 0.0747  6 Tl 3.20-3.43
Pr3 0.7973 0.2027 0.5747  6 Tl 3.20-3.43
Pr4 0.9923 0.0077 0.0000  5 Tl 3.23-3.42, 2 Pr 3.34, 4 Mg 3.57-3.59
Mg1 0.3900 0.6100 0.2712  3 Tl 3.07-3.18
Mg2 0.6100 0.3900 0.7712  3 Tl 3.07-3.18
Tl1 0.1842 0.8158 0.5866  2 Mg 3.07, 5 Pr 3.20-3.43
Tl2 0.4120 0.5880 0.7441  2 Mg 3.18-3.53, 6 Pr 3.33-3.42
Tl3 0.5880 0.4120 0.2441  2 Mg 3.18-3.53, 6 Pr 3.33-3.42
Tl4 0.8158 0.1842 0.0866  2 Mg 3.07, 5 Pr 3.20-3.43

---

Record 12
Entry from the Alexandria database: a relaxed Cs2CeAgI6 crystal (PBE).

Output
- Volume: 472 Å³/cell
- Energy relative to the elements, uncorrected: -116 kJ/mol of atoms
- Space group: Fm-3m

Lattice parameters (Å, degrees): 8.7384 8.7384 8.7384 60.00 60.00 60.00
With the nearest neighbours (Å) after each atom.
Sites, in units of the cell vectors:
Cs1 0.2500 0.2500 0.2500  12 I 4.37
Cs2 0.7500 0.7500 0.7500  12 I 4.37
Ce1 0.0000 0.0000 0.0000  6 I 3.13
Ag1 0.5000 0.5000 0.5000  6 I 3.05
I1 0.2532 0.2532 0.7468  1 Ag 3.05, 1 Ce 3.13
I2 0.2532 0.7468 0.2532  1 Ag 3.05, 1 Ce 3.13
I3 0.2532 0.7468 0.7468  1 Ag 3.05, 1 Ce 3.13
I4 0.7468 0.2532 0.2532  1 Ag 3.05, 1 Ce 3.13
I5 0.7468 0.2532 0.7468  1 Ag 3.05, 1 Ce 3.13
I6 0.7468 0.7468 0.2532  1 Ag 3.05, 1 Ce 3.13

---

| no. | mass density (g/cm³) |
| --- | --- |
| 1 | 2.77 |
| 2 | 7.44 |
| 3 | 8.75 |
| 4 | 15.59 |
| 5 | 10.82 |
| 6 | 5.43 |
| 7 | 6.65 |
| 8 | 6.38 |
| 9 | 5.83 |
| 10 | 7.19 |
| 11 | 8.01 |
| 12 | 4.49 |